#w
Density functional theory data (PBE) for crystalline CsTl2Hg7 at its relaxed geometry.

Properties
Space-group type: No. 65

Cell: 12.6495 12.6495 3.9131 Å, 90.00 90.00 147.19°
Fractional positions:
Cs 0.0000 0.0000 0.0000
Tl 0.2597 0.7403 0.5000
Tl 0.7403 0.2597 0.5000
Hg 0.0649 0.3437 0.5000
Hg 0.3437 0.0649 0.5000
Hg 0.4029 0.5971 0.0000
Hg 0.5000 0.5000 0.5000
Hg 0.5971 0.4029 0.0000
Hg 0.6563 0.9351 0.5000
Hg 0.9351 0.6563 0.5000



#x
Density functional theory data (PBE) for crystalline CsTl2Hg7 at its relaxed geometry.

Properties
Space-group type: No. 65

Cell: 8.7922 8.7922 6.1515 Å, 90.00 90.00 121.10°
Fractional positions:
Cs 0.0000 0.0000 0.0000
Tl 0.2864 0.7136 0.5000
Tl 0.7136 0.2864 0.5000
Hg 0.0823 0.2905 0.5000
Hg 0.2905 0.0823 0.5000
Hg 0.3093 0.6907 0.0000
Hg 0.5000 0.5000 0.5000
Hg 0.6907 0.3093 0.0000
Hg 0.7095 0.9177 0.5000
Hg 0.9177 0.7095 0.5000



Least stable of them? #x.



#w
Density functional theory data (PBE) for crystalline CsTl2Hg9 at its relaxed geometry.

Properties
Space-group type: No. 191

Cell: 10.8851 10.8851 3.6150 Å, 90.00 90.00 120.00°
Fractional positions:
Cs 0.0000 0.0000 0.0000
Tl 0.3333 0.6667 0.0000
Tl 0.6667 0.3333 0.0000
Hg 0.0000 0.5000 0.0000
Hg 0.1777 0.3553 0.5000
Hg 0.1777 0.8223 0.5000
Hg 0.3553 0.1777 0.5000
Hg 0.5000 0.0000 0.0000
Hg 0.5000 0.5000 0.0000
Hg 0.6447 0.8223 0.5000
Hg 0.8223 0.1777 0.5000
Hg 0.8223 0.6447 0.5000



#x
Density functional theory data (PBE) for crystalline CsTl2Hg9 at its relaxed geometry.

Properties
Space-group type: No. 2

Cell: 6.7643 7.9391 8.5758 Å, 70.76 87.70 65.17°
Fractional positions:
Cs 0.0000 0.0000 0.0000
Tl 0.2439 0.5144 0.4923
Tl 0.7561 0.4856 0.5077
Hg 0.0000 0.0000 0.5000
Hg 0.0689 0.3604 0.2094
Hg 0.3774 0.2435 0.9380
Hg 0.4061 0.0546 0.6552
Hg 0.4480 0.6257 0.7931
Hg 0.5520 0.3743 0.2069
Hg 0.5939 0.9454 0.3448
Hg 0.6226 0.7565 0.0620
Hg 0.9311 0.6396 0.7906



Least stable of them? #w.